VASP calculation (PBE) on InHgBr2 after structural relaxation.

a b c (Å): 7.481 7.481 4.340
angles (deg): 106.77 106.77 33.70
Sites, in units of the cell vectors:
In1 0.000 0.000 0.000
Hg1 0.786 0.786 0.787
Br1 0.207 0.207 0.207
Br2 0.508 0.508 0.509

Properties
SG: Cm, No. 8
ΔE_f (raw), eV/f.u.: -1.8
DOS at the Fermi energy, states/eV/cell: 1.3
Energy relative to the lowest polymorph listed for this composition, eV/atom: 0.110
VASP energy, eV per atom: -2.05

---

VASP calculation (PBE) on DyTmHf after structural relaxation.

a b c (Å): 5.296 5.296 3.371
angles (deg): 90.00 90.00 120.00
Sites, in units of the cell vectors:
Dy1 0.000 0.000 0.000
Tm1 0.333 0.667 0.500
Hf1 0.667 0.333 0.500

Properties
SG: P-6m2, No. 187
Calculated formation energy, eV per atom: 0.20
DOS at the Fermi energy, states/eV/cell: 5.6
Energy relative to the lowest polymorph listed for this composition, eV/atom: 0.089
VASP energy, eV per atom: -6.14

---

VASP calculation (PBE) on Na2Au2F7 after structural relaxation.

a b c (Å): 4.963 6.011 11.779
angles (deg): 89.79 89.99 89.75
Sites, in units of the cell vectors:
Na1 0.000 0.000 0.000
Na2 0.077 0.406 0.237
Na3 0.380 0.094 0.737
Na4 0.457 0.500 0.500
Au1 0.524 0.480 0.962
Au2 0.597 0.904 0.237
Au3 0.859 0.596 0.737
Au4 0.933 0.019 0.463
F1 0.020 0.860 0.811
F2 0.041 0.713 0.516
F3 0.153 0.412 0.798
F4 0.201 0.326 0.055
F5 0.256 0.173 0.555
F6 0.303 0.087 0.298
F7 0.416 0.786 0.016
F8 0.436 0.639 0.310
F9 0.564 0.773 0.669
F10 0.639 0.182 0.901
F11 0.702 0.340 0.659
F12 0.754 0.161 0.159
F13 0.817 0.318 0.401
F14 0.892 0.728 0.169

Properties
SG: P1, No. 1
ΔE_f (raw), eV/f.u.: -17.8
Energy relative to the lowest polymorph listed for this composition, eV/atom: 0.000
VASP energy, eV per atom: -3.65

---

VASP calculation (PBE) on ZnSiMo2 after structural relaxation.

a b c (Å): 5.547 5.547 5.547
angles (deg): 103.43 103.43 122.38
Sites, in units of the cell vectors:
Zn1 0.000 0.000 0.000
Zn2 0.750 0.250 0.500
Si1 0.250 0.750 0.500
Si2 0.500 0.500 0.000
Mo1 0.149 0.625 0.024
Mo2 0.375 0.399 0.524
Mo3 0.601 0.125 0.976
Mo4 0.875 0.851 0.476

Properties
SG: I-42d, No. 122
ΔE_f (raw), eV/f.u.: 1.4
DOS at the Fermi energy, states/eV/cell: 5.5
Energy relative to the lowest polymorph listed for this composition, eV/atom: 0.385
VASP energy, eV per atom: -6.74

---

VASP calculation (PBE) on NdMgAlAg after structural relaxation.

a b c (Å): 5.032 5.032 5.032
angles (deg): 60.00 60.00 60.00
Sites, in units of the cell vectors:
Nd1 0.000 0.000 0.000
Mg1 0.500 0.500 0.500
Al1 0.750 0.750 0.750
Ag1 0.250 0.250 0.250

Properties
SG: F-43m, No. 216
Calculated formation energy, eV per atom: -0.29
DOS at the Fermi energy, states/eV/cell: 1.5
VASP energy, eV per atom: -3.53

---

VASP calculation (PBE) on KBa2NaNi after structural relaxation.

a b c (Å): 6.068 6.068 6.539
angles (deg): 90.00 90.00 90.00
Sites, in units of the cell vectors:
K1 0.000 0.000 0.000
Ba1 0.000 0.500 0.500
Ba2 0.500 0.000 0.500
Na1 0.500 0.500 0.000
Ni1 0.000 0.000 0.500

Properties
SG: P4/mmm, No. 123
Calculated formation energy, eV per atom: 0.15
DOS at the Fermi energy, states/eV/cell: 4.7
Energy relative to the lowest polymorph listed for this composition, eV/atom: 0.011
VASP energy, eV per atom: -2.26

---

VASP calculation (PBE) on Na2Ca4Rh after structural relaxation.

a b c (Å): 9.695 9.695 9.695
angles (deg): 146.91 146.91 47.49
Sites, in units of the cell vectors:
Na1 0.140 0.140 0.000
Na2 0.860 0.860 0.000
Ca1 0.000 0.500 0.500
Ca2 0.343 0.343 0.000
Ca3 0.500 0.000 0.500
Ca4 0.657 0.657 0.000
Rh1 0.500 0.500 0.000

Properties
SG: I4/mmm, No. 139
Calculated formation energy, eV per atom: -0.07
DOS at the Fermi energy, states/eV/cell: 4.4
VASP energy, eV per atom: -2.64

---

VASP calculation (PBE) on Tb4Dy9Zn11 after structural relaxation.

a b c (Å): 13.081 13.081 3.457
angles (deg): 90.00 90.00 108.13
Sites, in units of the cell vectors:
Tb1 0.081 0.255 0.000
Tb2 0.255 0.081 0.000
Tb3 0.745 0.919 0.000
Tb4 0.919 0.745 0.000
Dy1 0.000 0.000 0.000
Dy2 0.122 0.648 0.000
Dy3 0.295 0.478 0.000
Dy4 0.352 0.878 0.000
Dy5 0.478 0.295 0.000
Dy6 0.522 0.705 0.000
Dy7 0.648 0.122 0.000
Dy8 0.705 0.522 0.000
Dy9 0.878 0.352 0.000
Zn1 0.084 0.448 0.500
Zn2 0.131 0.869 0.500
Zn3 0.283 0.283 0.500
Zn4 0.324 0.676 0.500
Zn5 0.448 0.084 0.500
Zn6 0.500 0.500 0.500
Zn7 0.552 0.916 0.500
Zn8 0.676 0.324 0.500
Zn9 0.717 0.717 0.500
Zn10 0.869 0.131 0.500
Zn11 0.916 0.552 0.500

Properties
SG: Cmmm, No. 65
Calculated formation energy, eV per atom: -0.25
DOS at the Fermi energy, states/eV/cell: 25.3
VASP energy, eV per atom: -3.33